Record 1
A plane-wave DFT calculation with PBE was carried out for a relaxed structure of Cr3TcTe.

a = 4.730 Å, b = 4.730 Å, c = 4.730 Å
α = 90.00°, β = 90.00°, γ = 90.00°
Last column: magnetic moment on the atom in μB.
Positions (direct):
Cr1 0.000 0.500 0.000  3.19
Cr2 0.000 0.000 0.500  2.88
Cr3 0.500 0.000 0.000  3.63
Te1 0.500 0.500 0.500  -0.07
Tc1 0.000 0.000 0.000  -0.99

Summary:
As for the symmetry: Pm-3m, No. 221. For the distance to the lowest polymorph of the same formula, the calculation gives 0 meV per atom. The value obtained for the electronic total energy is -36.903 eV/cell.


Record 2
A plane-wave DFT calculation with PBE was carried out for a relaxed structure of CrTcTe2.

a = 6.196 Å, b = 6.196 Å, c = 7.354 Å
α = 65.09°, β = 65.09°, γ = 90.00°
Last column: magnetic moment on the atom in μB.
Positions (direct):
Cr1 0.500 0.500 0.000  -3.60
Cr2 0.250 0.750 0.500  -3.60
Te1 0.640 0.125 0.250  0.07
Te2 0.110 0.625 0.250  0.07
Te3 0.375 0.360 0.750  0.08
Te4 0.875 0.890 0.750  0.08
Tc1 0.000 0.000 0.000  0.15
Tc2 0.750 0.250 0.500  0.15

Summary:
As for the symmetry: I-42d, No. 122. For the distance to the lowest polymorph of the same formula, the calculation gives 443 meV per atom. The value obtained for the electronic total energy is -48.964 eV/cell.


Record 3
A plane-wave DFT calculation with PBE was carried out for a relaxed structure of CrTc2Te.

a = 5.212 Å, b = 5.212 Å, c = 5.212 Å
α = 144.66°, β = 129.91°, γ = 62.79°
Last column: magnetic moment on the atom in μB.
Positions (direct):
Cr1 0.750 0.250 0.500  1.06
Tc1 0.012 0.012 0.000  -0.22
Tc2 0.488 0.488 0.000  -0.22
Te1 0.250 0.750 0.500  -0.02

Summary:
As for the symmetry: Immm, No. 71. The value obtained for the electronic total energy is -31.659 eV/cell.


Record 4
A plane-wave DFT calculation with PBE was carried out for a relaxed structure of CrTcTe2.

a = 4.064 Å, b = 4.064 Å, c = 6.896 Å
α = 72.79°, β = 72.79°, γ = 59.98°
Positions (direct):
Cr1 0.531 0.531 0.406
Tc1 0.217 0.217 0.350
Te1 0.965 0.965 0.107
Te2 0.787 0.787 0.637

Summary:
As for the symmetry: Cm, No. 8. For the distance to the lowest polymorph of the same formula, the calculation gives 105 meV per atom. The value obtained for the electronic total energy is -25.833 eV/cell.


Record 5
A plane-wave DFT calculation with PBE was carried out for a relaxed structure of CrTcTe2.

a = 4.903 Å, b = 4.903 Å, c = 4.903 Å
α = 60.00°, β = 60.00°, γ = 60.00°
Last column: magnetic moment on the atom in μB.
Positions (direct):
Cr1 0.500 0.500 0.500  3.31
Tc1 0.250 0.250 0.250  -1.92
Te1 0.000 0.000 0.000  0.04
Te2 0.750 0.750 0.750  -0.09

Summary:
As for the symmetry: F-43m, No. 216. For the distance to the lowest polymorph of the same formula, the calculation gives 883 meV per atom. The value obtained for the electronic total energy is -22.720 eV/cell.


Record 6
A plane-wave DFT calculation with PBE was carried out for a relaxed structure of CrTc3Te.

a = 4.493 Å, b = 4.493 Å, c = 4.493 Å
α = 90.00°, β = 90.00°, γ = 90.00°
Last column: magnetic moment on the atom in μB.
Positions (direct):
Cr1 0.000 0.000 0.000  -0.12
Te1 0.500 0.500 0.500  -0.02
Tc1 0.000 0.500 0.000  0.10
Tc2 0.000 0.000 0.500  0.10
Tc3 0.500 0.000 0.000  0.11

Summary:
As for the symmetry: Pm-3m, No. 221. For the distance to the lowest polymorph of the same formula, the calculation gives 0 meV per atom. The value obtained for the electronic total energy is -37.958 eV/cell.


Record 7
A plane-wave DFT calculation with PBE was carried out for a relaxed structure of CrTc2Te.

a = 4.731 Å, b = 4.731 Å, c = 4.789 Å
α = 80.55°, β = 80.55°, γ = 37.06°
Last column: magnetic moment on the atom in μB.
Positions (direct):
Cr1 0.250 0.250 0.250  1.69
Tc1 0.983 0.983 0.032  -0.22
Tc2 0.517 0.517 0.468  -0.22
Te1 0.750 0.750 0.750  -0.02

Summary:
As for the symmetry: C2/m, No. 12. The value obtained for the electronic total energy is -32.023 eV/cell.


Record 8
A plane-wave DFT calculation with PBE was carried out for a relaxed structure of CrTc2Te.

a = 4.975 Å, b = 4.975 Å, c = 4.975 Å
α = 134.20°, β = 134.20°, γ = 66.78°
Last column: magnetic moment on the atom in μB.
Positions (direct):
Cr1 0.750 0.250 0.500  2.29
Tc1 0.000 0.000 0.000  -0.29
Tc2 0.250 0.750 0.500  -0.24
Te1 0.500 0.500 0.000  -0.02

Summary:
As for the symmetry: I-4m2, No. 119. The value obtained for the electronic total energy is -31.931 eV/cell.


Record 9
A plane-wave DFT calculation with PBE was carried out for a relaxed structure of CrTcTe2.

a = 3.853 Å, b = 3.854 Å, c = 6.968 Å
α = 90.05°, β = 90.00°, γ = 90.00°
Last column: magnetic moment on the atom in μB.
Positions (direct):
Cr1 0.000 0.375 0.625  2.31
Tc1 0.500 0.875 0.625  -0.10
Te1 0.000 0.875 0.889  -0.09
Te2 0.500 0.375 0.361  -0.09

Summary:
As for the symmetry: P-4m2, No. 115. For the distance to the lowest polymorph of the same formula, the calculation gives 0 meV per atom. The value obtained for the electronic total energy is -26.252 eV/cell.


Record 10
A plane-wave DFT calculation with PBE was carried out for a relaxed structure of CrTcTe2.

a = 10.360 Å, b = 10.360 Å, c = 10.360 Å
α = 17.67°, β = 17.67°, γ = 17.67°
Last column: magnetic moment on the atom in μB.
Positions (direct):
Cr1 0.515 0.515 0.515  0.49
Tc1 0.232 0.232 0.232  -0.22
Te1 0.975 0.975 0.975  -0.02
Te2 0.778 0.778 0.778  -0.01

Summary:
As for the symmetry: R3m, No. 160. For the distance to the lowest polymorph of the same formula, the calculation gives 304 meV per atom. The value obtained for the electronic total energy is -25.035 eV/cell.


Record 11
A plane-wave DFT calculation with PBE was carried out for a relaxed structure of Cr3TcTe.

a = 4.549 Å, b = 4.549 Å, c = 4.549 Å
α = 90.00°, β = 90.00°, γ = 90.00°
Positions (direct):
Cr1 0.000 0.500 0.000
Cr2 0.000 0.000 0.500
Cr3 0.500 0.000 0.000
Te1 0.000 0.000 0.000
Tc1 0.500 0.500 0.500

Summary:
As for the symmetry: Pm-3m, No. 221. For the distance to the lowest polymorph of the same formula, the calculation gives 1054 meV per atom. The value obtained for the electronic total energy is -31.631 eV/cell.


Record 12
A plane-wave DFT calculation with PBE was carried out for a relaxed structure of CrTc2Te.

a = 4.856 Å, b = 4.856 Å, c = 4.588 Å
α = 73.62°, β = 73.62°, γ = 37.67°
Last column: magnetic moment on the atom in μB.
Positions (direct):
Cr1 0.256 0.256 0.183  1.94
Tc1 0.988 0.988 0.074  -0.43
Tc2 0.754 0.754 0.705  -0.23
Te1 0.502 0.502 0.538  0.00

Summary:
As for the symmetry: Cm, No. 8. The value obtained for the electronic total energy is -32.218 eV/cell.


Record 13
A plane-wave DFT calculation with PBE was carried out for a relaxed structure of CrTcTe2.

a = 7.192 Å, b = 7.192 Å, c = 7.192 Å
α = 31.34°, β = 31.34°, γ = 31.34°
Last column: magnetic moment on the atom in μB.
Positions (direct):
Cr1 0.750 0.750 0.750  3.80
Tc1 0.250 0.250 0.250  -0.96
Te1 0.996 0.996 0.996  -0.07
Te2 0.504 0.504 0.504  -0.07

Summary:
As for the symmetry: R-3m, No. 166. For the distance to the lowest polymorph of the same formula, the calculation gives 386 meV per atom. The value obtained for the electronic total energy is -24.707 eV/cell.


Record 14
A plane-wave DFT calculation with PBE was carried out for a relaxed structure of CrTcTe2.

a = 4.623 Å, b = 4.623 Å, c = 4.623 Å
α = 120.02°, β = 120.02°, γ = 89.97°
Positions (direct):
Cr1 0.250 0.750 0.500
Tc1 0.750 0.250 0.500
Te1 0.000 0.000 0.000
Te2 0.500 0.500 0.000

Summary:
As for the symmetry: Fm-3m, No. 225. For the distance to the lowest polymorph of the same formula, the calculation gives 425 meV per atom. The value obtained for the electronic total energy is -24.554 eV/cell.


Record 15
A plane-wave DFT calculation with PBE was carried out for a relaxed structure of CrTc2Te.

a = 3.059 Å, b = 3.831 Å, c = 5.499 Å
α = 90.00°, β = 90.00°, γ = 90.00°
Last column: magnetic moment on the atom in μB.
Positions (direct):
Cr1 0.500 0.500 0.794  2.18
Tc1 0.000 0.000 0.966  -0.52
Tc2 0.500 0.500 0.259  -0.06
Te1 0.000 0.000 0.481  0.00

Summary:
As for the symmetry: Pmm2, No. 25. The value obtained for the electronic total energy is -31.875 eV/cell.


Record 16
A plane-wave DFT calculation with PBE was carried out for a relaxed structure of CrTcTe2.

a = 9.041 Å, b = 9.041 Å, c = 9.041 Å
α = 20.92°, β = 20.92°, γ = 20.92°
Positions (direct):
Cr1 0.000 0.000 0.000
Te1 0.907 0.907 0.907
Te2 0.093 0.093 0.093
Tc1 0.500 0.500 0.500

Summary:
As for the symmetry: R-3m, No. 166. For the distance to the lowest polymorph of the same formula, the calculation gives 746 meV per atom. The value obtained for the electronic total energy is -23.267 eV/cell.


Record 17
A plane-wave DFT calculation with PBE was carried out for a relaxed structure of CrTc2Te.

a = 3.081 Å, b = 3.081 Å, c = 6.531 Å
α = 90.00°, β = 90.00°, γ = 90.00°
Positions (direct):
Cr1 0.500 0.500 0.759
Tc1 0.000 0.000 0.993
Tc2 0.500 0.500 0.233
Te1 0.000 0.000 0.515

Summary:
As for the symmetry: P4mm, No. 99. The value obtained for the electronic total energy is -32.094 eV/cell.


Record 18
A plane-wave DFT calculation with PBE was carried out for a relaxed structure of CrTc2Te.

a = 8.433 Å, b = 8.433 Å, c = 8.433 Å
α = 20.52°, β = 20.52°, γ = 20.52°
Last column: magnetic moment on the atom in μB.
Positions (direct):
Cr1 0.750 0.750 0.750  0.51
Tc1 0.008 0.008 0.008  -0.08
Tc2 0.492 0.492 0.492  -0.08
Te1 0.250 0.250 0.250  0.01

Summary:
As for the symmetry: R-3m, No. 166. The value obtained for the electronic total energy is -31.505 eV/cell.


Record 19
A plane-wave DFT calculation with PBE was carried out for a relaxed structure of CrTcTe2.

a = 4.266 Å, b = 3.736 Å, c = 5.430 Å
α = 85.53°, β = 90.00°, γ = 90.00°
Last column: magnetic moment on the atom in μB.
Positions (direct):
Cr1 0.500 0.250 0.250  3.57
Tc1 0.500 0.750 0.750  -0.41
Te1 0.000 0.951 0.004  -0.06
Te2 0.000 0.549 0.496  -0.06

Summary:
As for the symmetry: P2/m, No. 10. For the distance to the lowest polymorph of the same formula, the calculation gives 634 meV per atom. The value obtained for the electronic total energy is -23.715 eV/cell.


Record 20
A plane-wave DFT calculation with PBE was carried out for a relaxed structure of CrTc2Te.

a = 4.429 Å, b = 4.429 Å, c = 4.429 Å
α = 60.00°, β = 60.00°, γ = 60.00°
Last column: magnetic moment on the atom in μB.
Positions (direct):
Cr1 0.500 0.500 0.500  0.04
Tc1 0.000 0.000 0.000  0.02
Tc2 0.250 0.250 0.250  0.92
Te1 0.750 0.750 0.750  0.05

Summary:
As for the symmetry: F-43m, No. 216. The value obtained for the electronic total energy is -31.542 eV/cell.


Number 1: formation energy without anion corrections 1.095 eV/atom. Number 2: formation energy without anion corrections 0.448 eV/atom. Number 3: formation energy without anion corrections 0.460 eV/atom. Number 4: formation energy without anion corrections 0.110 eV/atom. Number 5: formation energy without anion corrections 0.888 eV/atom. Number 6: formation energy without anion corrections 1.181 eV/atom. Number 7: formation energy without anion corrections 0.369 eV/atom. Number 8: formation energy without anion corrections 0.392 eV/atom. Number 9: formation energy without anion corrections 0.005 eV/atom. Number 10: formation energy without anion corrections 0.309 eV/atom. Number 11: formation energy without anion corrections 2.149 eV/atom. Number 12: formation energy without anion corrections 0.320 eV/atom. Number 13: formation energy without anion corrections 0.391 eV/atom. Number 14: formation energy without anion corrections 0.430 eV/atom. Number 15: formation energy without anion corrections 0.405 eV/atom. Number 16: formation energy without anion corrections 0.751 eV/atom. Number 17: formation energy without anion corrections 0.351 eV/atom. Number 18: formation energy without anion corrections 0.498 eV/atom. Number 19: formation energy without anion corrections 0.639 eV/atom. Number 20: formation energy without anion corrections 0.489 eV/atom.